## LiZn6Ga (PBE)

Data for a relaxed structure of LiZn6Ga.

Cell: 5.4442 5.4442 5.4442 Å, 108.23 108.23 108.23°
Closest atoms and distances in Å follow each position.
Fractional coordinates of all 8 atoms:
Li 0.0000 0.0000 0.0000  6 Zn 2.61, 2 Ga 2.88
Zn 0.7691 0.2767 0.7691  1 Ga 2.58, 1 Li 2.61, 5 Zn 2.64-2.78
Zn 0.2309 0.2309 0.7233  1 Ga 2.58, 1 Li 2.61, 5 Zn 2.64-2.78
Zn 0.7233 0.2309 0.2309  1 Ga 2.58, 1 Li 2.61, 5 Zn 2.64-2.78
Zn 0.2767 0.7691 0.7691  1 Ga 2.58, 1 Li 2.61, 5 Zn 2.64-2.78
Zn 0.7691 0.7691 0.2767  1 Ga 2.58, 1 Li 2.61, 5 Zn 2.64-2.78
Zn 0.2309 0.7233 0.2309  1 Ga 2.58, 1 Li 2.61, 5 Zn 2.64-2.78
Ga 0.5000 0.5000 0.5000  6 Zn 2.58, 2 Li 2.88

Calculated values
Crystal system: trigonal
DFT total energy, eV/atom: -1.553
Calculated formation energy, eV per atom: 0.020
Excess energy over the best structure of this formula in the dataset, meV per atom: 5



## LiZn10Ga2 (PBE)

Data for a relaxed structure of LiZn10Ga2.

Cell: 5.3668 6.8912 6.7976 Å, 81.16 66.75 67.08°
Closest atoms and distances in Å follow each position.
Fractional coordinates of all 13 atoms:
Zn 0.5000 0.0000 0.5000  10 Zn 2.59-2.73
Zn 0.6474 0.3468 0.3584  4 Zn 2.63-2.79, 2 Ga 2.78
Zn 0.0000 0.0000 0.5000  10 Zn 2.59-2.73
Zn 0.3526 0.6532 0.6416  4 Zn 2.63-2.79, 2 Ga 2.78
Zn 0.4966 0.7895 0.2172  5 Zn 2.59-2.79, 2 Ga 2.65
Zn 0.7138 0.7895 0.7828  5 Zn 2.59-2.79, 2 Ga 2.65
Zn 0.0058 0.3468 0.6416  4 Zn 2.63-2.79, 2 Ga 2.78
Zn 0.2862 0.2105 0.2172  5 Zn 2.59-2.79, 2 Ga 2.65
Zn 0.5034 0.2105 0.7828  5 Zn 2.59-2.79, 2 Ga 2.65
Zn 0.9942 0.6532 0.3584  4 Zn 2.63-2.79, 2 Ga 2.78
Ga 0.5000 0.5000 0.0000  8 Zn 2.65-2.78, 2 Ga 2.68
Ga 0.0000 0.5000 0.0000  8 Zn 2.65-2.78, 2 Ga 2.68
Li 0.0000 0.0000 0.0000  16 Zn 3.14-3.40, 4 Ga 3.45

Calculated values
Crystal system: orthorhombic
DFT total energy, eV/atom: -1.586
Calculated formation energy, eV per atom: 0.007



## LiZn4Ga (PBE)

Data for a relaxed structure of LiZn4Ga.

Cell: 4.4536 5.4801 7.5321 Å, 80.68 90.00 90.00°
Closest atoms and distances in Å follow each position.
Fractional coordinates of all 12 atoms:
Li 0.2500 0.7818 0.8961  4 Ga 2.73-2.78, 8 Zn 2.75-2.94
Li 0.7500 0.2182 0.1039  4 Ga 2.73-2.78, 8 Zn 2.75-2.94
Zn 0.7500 0.5624 0.7778  6 Zn 2.71-2.86, 3 Ga 2.74-2.84, 3 Li 2.75-2.84
Zn 0.7500 0.8857 0.4525  10 Zn 2.71-2.79, 1 Ga 2.81, 1 Li 2.94
Zn 0.7500 0.3866 0.4408  10 Zn 2.73-2.86, 1 Ga 2.77, 1 Li 2.84
Zn 0.2500 0.4376 0.2222  6 Zn 2.71-2.86, 3 Ga 2.74-2.84, 3 Li 2.75-2.84
Zn 0.2500 0.6134 0.5592  10 Zn 2.73-2.86, 1 Ga 2.77, 1 Li 2.84
Zn 0.7500 0.0569 0.7742  6 Zn 2.71-2.85, 3 Ga 2.73-2.95, 3 Li 2.76-2.77
Zn 0.2500 0.1143 0.5475  10 Zn 2.71-2.79, 1 Ga 2.81, 1 Li 2.94
Zn 0.2500 0.9431 0.2258  6 Zn 2.71-2.85, 3 Ga 2.73-2.95, 3 Li 2.76-2.77
Ga 0.7500 0.7162 0.1201  8 Zn 2.73-2.95, 4 Li 2.73-2.78
Ga 0.2500 0.2838 0.8799  8 Zn 2.73-2.95, 4 Li 2.73-2.78

Calculated values
Crystal system: monoclinic
DFT total energy, eV/atom: -1.788
Calculated formation energy, eV per atom: -0.116
Excess energy over the best structure of this formula in the dataset, meV per atom: 0



## LiZn2Ga3 (PBE)

Data for a relaxed structure of LiZn2Ga3.

Cell: 4.3293 7.7304 7.6619 Å, 119.74 90.00 106.26°
Closest atoms and distances in Å follow each position.
Fractional coordinates of all 12 atoms:
Zn 0.7962 0.5923 0.2962  8 Ga 2.66-2.89
Zn 0.5000 0.0000 0.1590  1 Zn 2.44, 4 Ga 2.54-2.55
Zn 0.2038 0.4077 0.7038  8 Ga 2.66-2.89
Zn 0.5000 0.0000 0.8410  1 Zn 2.44, 4 Ga 2.54-2.55
Ga 0.6809 0.3618 0.4818  4 Zn 2.54-2.73
Ga 0.3191 0.6382 0.5182  4 Zn 2.54-2.73
Ga 0.0000 0.0000 0.6656  1 Ga 2.54, 2 Zn 2.55
Ga 0.6809 0.3618 0.8803  4 Zn 2.54-2.73
Ga 0.3191 0.6382 0.1197  4 Zn 2.54-2.73
Ga 0.0000 0.0000 0.3344  1 Ga 2.54, 2 Zn 2.55
Li 0.8820 0.7641 0.8819  6 Zn 2.90-3.13, 4 Ga 2.97-2.98, 1 Li 3.00
Li 0.1180 0.2359 0.1181  6 Zn 2.90-3.13, 4 Ga 2.97-2.98, 1 Li 3.00

Calculated values
Crystal system: orthorhombic
DFT total energy, eV/atom: -2.349
Calculated formation energy, eV per atom: -0.092
Excess energy over the best structure of this formula in the dataset, meV per atom: 9



## Li5Zn2Ga2 (PBE)

Data for a relaxed structure of Li5Zn2Ga2.

Cell: 5.3200 8.7090 7.7064 Å, 124.41 90.00 90.00°
Closest atoms and distances in Å follow each position.
Fractional coordinates of all 18 atoms:
Ga 0.0000 0.7128 0.4257  4 Li 2.65, 2 Ga 2.82
Ga 0.0000 0.2872 0.5743  4 Li 2.65, 2 Ga 2.82
Ga 0.5000 0.7872 0.5743  4 Li 2.65, 2 Ga 2.82
Ga 0.5000 0.2128 0.4257  4 Li 2.65, 2 Ga 2.82
Zn 0.9998 0.3561 0.0000  1 Zn 2.51, 4 Li 2.56
Zn 0.0002 0.6439 0.0000  1 Zn 2.51, 4 Li 2.56
Zn 0.4998 0.1439 0.0000  1 Zn 2.51, 4 Li 2.56
Zn 0.5002 0.8561 0.0000  1 Zn 2.51, 4 Li 2.56
Li 0.2497 0.0941 0.6884  3 Li 2.40-2.66, 2 Zn 2.56, 2 Ga 2.65
Li 0.7497 0.0943 0.6884  3 Li 2.40-2.66, 2 Zn 2.56, 2 Ga 2.65
Li 0.2503 0.9057 0.3116  3 Li 2.40-2.66, 2 Zn 2.56, 2 Ga 2.65
Li 0.0000 0.0000 0.0000  6 Zn 2.94-3.10, 8 Li 3.23
Li 0.7503 0.9059 0.3116  3 Li 2.40-2.66, 2 Zn 2.56, 2 Ga 2.65
Li 0.2497 0.4057 0.3116  3 Li 2.40-2.66, 2 Zn 2.56, 2 Ga 2.65
Li 0.5000 0.5000 0.0000  6 Zn 2.94-3.10, 8 Li 3.23
Li 0.7497 0.4059 0.3116  3 Li 2.40-2.66, 2 Zn 2.56, 2 Ga 2.65
Li 0.2503 0.5941 0.6884  3 Li 2.40-2.66, 2 Zn 2.56, 2 Ga 2.65
Li 0.7503 0.5943 0.6884  3 Li 2.40-2.66, 2 Zn 2.56, 2 Ga 2.65

Calculated values
Crystal system: orthorhombic
DFT total energy, eV/atom: -2.149
Calculated formation energy, eV per atom: -0.130
Excess energy over the best structure of this formula in the dataset, meV per atom: 36



## LiZnGa6 (PBE)

Data for a relaxed structure of LiZnGa6.

Cell: 4.5213 6.0141 6.0408 Å, 119.85 90.00 90.00°
Closest atoms and distances in Å follow each position.
Fractional coordinates of all 8 atoms:
Ga 0.5000 0.6791 0.8287  7 Ga 2.83-3.03, 2 Zn 2.84, 2 Li 3.01-3.03
Ga 0.5000 0.1496 0.8287  7 Ga 2.83-3.03, 2 Zn 2.84, 2 Li 3.01-3.03
Ga 0.0000 0.3383 0.1756  2 Li 2.82, 8 Ga 2.85-3.10, 1 Zn 2.86
Ga 0.0000 0.8373 0.1756  2 Li 2.82, 8 Ga 2.85-3.10, 1 Zn 2.86
Ga 0.0000 0.3458 0.6917  10 Ga 2.86-3.10, 2 Zn 3.02
Ga 0.5000 0.1685 0.3369  10 Ga 2.85-3.03, 2 Li 3.01
Zn 0.0000 0.8206 0.6413  2 Li 2.81, 8 Ga 2.84-3.02
Li 0.5000 0.6608 0.3216  2 Zn 2.81, 10 Ga 2.82-3.03

Calculated values
Crystal system: orthorhombic
DFT total energy, eV/atom: -2.719
Calculated formation energy, eV per atom: -0.051
Excess energy over the best structure of this formula in the dataset, meV per atom: 0



## Li3Zn4Ga (PBE)

Data for a relaxed structure of Li3Zn4Ga.

Cell: 2.9456 4.4734 9.5680 Å, 72.75 98.84 89.91°
Closest atoms and distances in Å follow each position.
Fractional coordinates of all 8 atoms:
Li 0.5000 0.5000 0.0000  4 Zn 2.60, 4 Ga 2.68
Li 0.6288 0.9198 0.2606  7 Zn 2.66-2.89, 2 Ga 2.80, 2 Li 2.95
Li 0.3712 0.0802 0.7394  7 Zn 2.66-2.89, 2 Ga 2.80, 2 Li 2.95
Zn 0.8841 0.5551 0.7673  6 Li 2.60-2.72, 2 Zn 2.62-2.63, 1 Ga 2.78
Zn 0.1159 0.4449 0.2327  6 Li 2.60-2.72, 2 Zn 2.62-2.63, 1 Ga 2.78
Zn 0.7382 0.2690 0.4735  6 Zn 2.62-2.74, 3 Li 2.82-2.89
Zn 0.2618 0.7310 0.5265  6 Zn 2.62-2.74, 3 Li 2.82-2.89
Ga 0.0000 0.0000 0.0000  8 Li 2.68-2.80, 2 Zn 2.78, 2 Ga 2.95

Calculated values
Crystal system: triclinic
DFT total energy, eV/atom: -1.905
Calculated formation energy, eV per atom: -0.172
Excess energy over the best structure of this formula in the dataset, meV per atom: 0



## Li3Zn4Ga (PBE)

Data for a relaxed structure of Li3Zn4Ga.

Cell: 5.8017 5.8017 5.8017 Å, 80.59 125.32 125.83°
Closest atoms and distances in Å follow each position.
Fractional coordinates of all 8 atoms:
Zn 0.0860 0.7437 0.8297  1 Ga 2.54, 5 Li 2.62-2.69
Zn 0.0731 0.7535 0.3195  6 Zn 2.60-2.91, 5 Li 2.86-2.91, 1 Ga 2.90
Zn 0.5660 0.2465 0.3195  6 Zn 2.60-2.91, 5 Li 2.86-2.91, 1 Ga 2.90
Zn 0.0860 0.2563 0.3422  1 Ga 2.54, 5 Li 2.62-2.69
Li 0.8412 0.0000 0.8412  2 Li 2.60, 4 Zn 2.62-2.86, 2 Ga 2.64
Li 0.5809 0.2490 0.8298  1 Ga 2.57, 1 Li 2.60, 4 Zn 2.64-2.69
Li 0.5809 0.7510 0.3319  1 Ga 2.57, 1 Li 2.60, 4 Zn 2.64-2.69
Ga 0.3370 0.5000 0.8370  2 Zn 2.54, 4 Li 2.57-2.64

Calculated values
Crystal system: orthorhombic
DFT total energy, eV/atom: -1.823
Calculated formation energy, eV per atom: -0.090
Excess energy over the best structure of this formula in the dataset, meV per atom: 82



## Li2Zn2Ga (PBE)

Data for a relaxed structure of Li2Zn2Ga.

Cell: 6.8164 6.8164 3.4225 Å, 90.00 90.00 90.00°
Closest atoms and distances in Å follow each position.
Fractional coordinates of all 10 atoms:
Zn 0.3680 0.8680 0.0000  1 Zn 2.54, 6 Li 2.60-2.66, 2 Ga 2.66
Zn 0.1320 0.3680 0.0000  1 Zn 2.54, 6 Li 2.60-2.66, 2 Ga 2.66
Zn 0.6320 0.1320 0.0000  1 Zn 2.54, 6 Li 2.60-2.66, 2 Ga 2.66
Zn 0.8680 0.6320 0.0000  1 Zn 2.54, 6 Li 2.60-2.66, 2 Ga 2.66
Ga 0.5000 0.5000 0.0000  4 Zn 2.66
Ga 0.0000 0.0000 0.0000  4 Zn 2.66
Li 0.6656 0.8344 0.5000  6 Zn 2.60-2.66
Li 0.1656 0.6656 0.5000  6 Zn 2.60-2.66
Li 0.3344 0.1656 0.5000  6 Zn 2.60-2.66
Li 0.8344 0.3344 0.5000  6 Zn 2.60-2.66

Calculated values
Crystal system: tetragonal
DFT total energy, eV/atom: -2.027
Calculated formation energy, eV per atom: -0.147
Excess energy over the best structure of this formula in the dataset, meV per atom: 88



## LiZnGa2 (PBE)

Data for a relaxed structure of LiZnGa2.

Cell: 3.9777 3.9972 3.9972 Å, 90.00 90.00 90.00°
Closest atoms and distances in Å follow each position.
Fractional coordinates of all 4 atoms:
Ga 0.0000 0.0000 0.5000  4 Li 2.82, 4 Zn 2.82, 4 Ga 2.83
Ga 0.0000 0.5000 0.0000  4 Li 2.82, 4 Zn 2.82, 4 Ga 2.83
Li 0.5000 0.5000 0.5000  8 Ga 2.82, 4 Zn 2.83
Zn 0.5000 0.0000 0.0000  8 Ga 2.82, 4 Li 2.83

Calculated values
Crystal system: tetragonal
DFT total energy, eV/atom: -2.493
Calculated formation energy, eV per atom: -0.182